# 1
Er3Si12Ru4 PBE-GGA optimized geometry; E_form (uncorrected) = -62 kJ/mol of atoms
1.0
9.2474 -4.0529 0.0000
9.2474 4.0529 0.0000
0.0000 0.0000 8.1123
Er Si Ru
6 24 8
Direct
0.0000 0.0000 0.0000
0.0028 0.4972 0.2500
0.4972 0.0028 0.7500
0.5000 0.5000 0.5000
0.5028 0.9972 0.2500
0.9972 0.5028 0.7500
0.1112 0.6544 0.4944
0.1129 0.1216 0.7285
0.1216 0.1129 0.2715
0.1544 0.6112 0.9944
0.1675 0.8325 0.6670
0.2052 0.2052 0.5000
0.2948 0.2948 0.0000
0.3325 0.6675 0.1670
0.3456 0.8888 0.4944
0.3784 0.3871 0.7715
0.3871 0.3784 0.2285
0.3888 0.8456 0.9944
0.6112 0.1544 0.0056
0.6129 0.6216 0.7715
0.6216 0.6129 0.2285
0.6544 0.1112 0.5056
0.6675 0.3325 0.8330
0.7052 0.7052 0.0000
0.7948 0.7948 0.5000
0.8325 0.1675 0.3330
0.8456 0.3888 0.0056
0.8784 0.8871 0.7285
0.8871 0.8784 0.2715
0.8888 0.3456 0.5056
0.1269 0.8731 0.3727
0.1694 0.1694 0.0000
0.3306 0.3306 0.5000
0.3731 0.6269 0.8727
0.6269 0.3731 0.1273
0.6694 0.6694 0.5000
0.8306 0.8306 0.0000
0.8731 0.1269 0.6273



# 2
Mn2CuRe PBE-GGA optimized geometry; excess energy over the best structure of this formula in the dataset = 0.067 eV per atom; ΔH_f (0 K) = 199 meV/atom
1.0
3.7876 0.0000 0.0000
0.0000 3.7876 0.0000
0.0000 0.0000 3.4425
Mn Cu Re
2 1 1
Direct
0.0000 0.5000 0.0000
0.5000 0.0000 0.0000
0.0000 0.0000 0.5000
0.5000 0.5000 0.5000



# 3
AcAg4Pb PBE-GGA optimized geometry; ΔH_f (0 K) = -197 meV/atom
1.0
0.0000 4.1312 4.1312
4.1312 0.0000 4.1312
4.1312 4.1312 0.0000
Ac Ag Pb
1 4 1
Direct
0.0000 0.0000 0.0000
0.3753 0.3753 0.3753
0.3753 0.3753 0.8741
0.3753 0.8741 0.3753
0.8741 0.3753 0.3753
0.7500 0.7500 0.7500